# Sc2MnAs

Crystalline Sc2MnAs at its relaxed geometry (GGA-PBE, Alexandria via LeMat-Bulk).

Lattice parameters (Å, degrees): 5.547 5.547 5.547 141.40 136.20 59.79
Sites, in units of the cell vectors:
1 Mn 0.275 0.775 0.500
2 As 0.473 0.473 0.000
3 Sc 0.744 0.244 0.500
4 Sc 0.009 0.009 0.000

Output
Final energy   -7.071 eV/atom
Total magnetic moment   2.46 μB/cell
DOS(E_F)   3.34 states/eV per cell
ρ   5.0 Mg/m³